Model A:
This record from Alexandria describes B11C after structural relaxation. The functional is GGA-PBE.

Values from the calculation:
As for the space-group type: Cm (8). The value obtained for the total magnetization is 0.0 Bohr magnetons per cell. The density is 2.48 Mg/m³.

a = 4.882 Å, b = 4.882 Å, c = 4.455 Å
α = 80.55°, β = 80.55°, γ = 119.26°
Sites, in units of the cell vectors:
B 0.000 0.687 0.686
B 0.466 0.897 0.070
B 0.366 0.366 0.622
B 0.952 0.952 0.379
B 0.294 0.622 0.833
B 0.499 0.769 0.429
B 0.687 0.000 0.686
B 0.897 0.466 0.070
B 0.622 0.294 0.833
B 0.769 0.499 0.429
B 0.176 0.176 0.004
C 0.022 0.022 0.709

=====

Model B:
This record from Alexandria describes B11C after structural relaxation. The functional is GGA-PBE.

Values from the calculation:
As for the space-group type: Cm (8). The value obtained for the total magnetization is 0.0 Bohr magnetons per cell. The density is 2.05 Mg/m³.

a = 7.283 Å, b = 7.283 Å, c = 5.452 Å
α = 73.39°, β = 73.39°, γ = 22.60°
Sites, in units of the cell vectors:
B 0.365 0.365 0.149
B 0.296 0.296 0.968
B 0.193 0.193 0.874
B 0.083 0.083 0.828
B 0.970 0.970 0.072
B 0.998 0.998 0.665
B 0.877 0.877 0.881
B 0.767 0.767 0.817
B 0.676 0.676 0.691
B 0.579 0.579 0.597
B 0.493 0.493 0.468
C 0.453 0.453 0.240

=====

Model C:
This record from Alexandria describes B11C after structural relaxation. The functional is GGA-PBE.

Values from the calculation:
As for the space-group type: Pm (6). The value obtained for the total magnetization is 0.0 Bohr magnetons per cell. The density is 2.55 Mg/m³.

a = 2.809 Å, b = 4.893 Å, c = 6.260 Å
α = 98.42°, β = 90.00°, γ = 90.00°
Sites, in units of the cell vectors:
B 0.500 0.820 0.298
B 0.500 0.344 0.249
B 0.500 0.578 0.057
B 0.500 0.178 0.995
B 0.000 0.713 0.624
B 0.000 0.361 0.671
B 0.000 0.326 0.403
B 0.000 0.084 0.175
B 0.000 0.001 0.886
B 0.000 0.636 0.889
B 0.500 0.125 0.707
C 0.500 0.834 0.545

=====

Tell me which of them is the most stable. Sure, it is model A.